# GdLuRu2 (GGA-PBE, optimized geometry)
# Energy of formation from the pure elements (meV per atom): -348
# DOS at the Fermi energy (states/eV per atom): 1.057
data_GdLuRu2
_chemical_formula_sum 'Gd4 Lu4 Ru8'
_cell_length_a 6.757
_cell_length_b 6.757
_cell_length_c 6.757
_cell_angle_alpha 90.00
_cell_angle_beta 90.00
_cell_angle_gamma 90.00
_space_group_name_H-M_alt 'F m -3 m'
_space_group_IT_number 225
_space_group_name_Hall '-F 4 2 3'
loop_
_atom_site_label
_atom_site_fract_x
_atom_site_fract_y
_atom_site_fract_z
Gd1 0.000 0.000 0.000
Lu1 0.000 0.000 0.500
Ru1 0.250 0.250 0.250